Material: MgTi2As2
Method: DFT, PBE
State: optimized geometry

Cell and atoms, written as POSCAR:
```
MgTi2As2
1.0
7.117 0.000 0.000
0.000 7.117 0.000
0.000 0.000 3.393
Mg Ti As
2 4 4
Direct
0.000 0.000 0.000 Mg
0.500 0.500 0.000 Mg
0.139 0.361 0.500 Ti
0.361 0.861 0.500 Ti
0.639 0.139 0.500 Ti
0.861 0.639 0.500 Ti
0.150 0.650 0.000 As
0.350 0.150 0.000 As
0.650 0.850 0.000 As
0.850 0.350 0.000 As
```

Its crystal system is tetragonal. The energy relative to the elements comes out at -0.681 eV per atom. For the total magnetization, the calculation gives 0.00 Bohr magnetons per cell. As for the energy above the most stable polymorph in this dataset: 0.000 eV per atom. As for the density of states at the Fermi level: 2.36 states/eV per cell.

Material: MgTiAs2
Method: DFT, PBE
State: optimized geometry

Cell and atoms, written as POSCAR:
```
MgTiAs2
1.0
1.857 1.072 6.444
-1.857 1.072 6.444
0.000 -2.144 6.444
Mg Ti As
1 1 2
Direct
0.000 0.000 0.000 Mg
0.500 0.500 0.500 Ti
0.244 0.244 0.244 As
0.756 0.756 0.756 As
```

Its crystal system is trigonal. The energy relative to the elements comes out at -0.648 eV per atom. For the total magnetization, the calculation gives 0.00 Bohr magnetons per cell. As for the density of states at the Fermi level: 1.26 states/eV per cell.